! Cs2DyFe2O6 | the Alexandria database | PBE+U | optimized geometry; values from VASP
! electronic total energy = -5.969 eV/atom
! calculated density = 5185 kg/m3
! space group = R-3m, No. 166
&SYSTEM
  ibrav = 0, nat = 11, ntyp = 4
/
ATOMIC_SPECIES
Cs 132.91 Cs.upf
Dy 162.50 Dy.upf
Fe 55.84 Fe.upf
O 16.00 O.upf
CELL_PARAMETERS angstrom
-2.273 5.143 -2.692
-6.092 1.274 0.359
-1.840 5.234 4.335
ATOMIC_POSITIONS angstrom
Cs -7.737 8.467 1.053
Cs -2.468 3.184 0.948
Dy 0.000 0.000 0.000
Fe -4.880 6.551 2.199
Fe -5.325 5.100 -0.197
O -6.731 6.029 -0.780
O -5.615 3.504 0.542
O -3.740 5.403 -0.956
O -6.465 6.248 2.958
O -4.590 8.148 1.460
O -3.474 5.622 2.782

! Cs4Dy3FeO8 | the Alexandria database | PBE+U | optimized geometry; values from VASP
! electronic total energy = -6.143 eV/atom
! calculated density = 6916 kg/m3
! space group = R-3m, No. 166
&SYSTEM
  ibrav = 0, nat = 16, ntyp = 4
/
ATOMIC_SPECIES
Cs 132.91 Cs.upf
Dy 162.50 Dy.upf
Fe 55.84 Fe.upf
O 16.00 O.upf
CELL_PARAMETERS angstrom
-4.442 -4.970 -2.084
4.172 -5.419 4.033
-2.337 5.448 3.691
ATOMIC_POSITIONS angstrom
Cs -2.221 -2.485 -1.042
Cs -3.390 0.239 0.803
Cs 0.000 0.000 0.000
Cs -1.169 2.724 1.845
Dy -0.135 -5.195 0.975
Dy -1.304 -2.470 2.820
Dy 0.917 0.014 3.862
Fe 2.086 -2.710 2.017
O -0.403 0.527 5.727
O 0.820 -2.324 3.795
O -1.138 -0.171 2.833
O -2.727 -2.074 4.637
O 0.120 -2.867 1.003
O -1.469 -4.770 2.807
O -3.428 -2.617 1.846
O -2.204 -5.468 -0.087

> Among the records above, which one has the lowest electronic total energy?

Cs4Dy3FeO8

> Which value of calculated density does entry 2 give?

6916 kg/m3

> The lowest electronic total energy belongs to which entry?

Cs4Dy3FeO8

> Among the records above, which one has the highest electronic total energy?

Cs2DyFe2O6